# 1
## Mg2Sc5CuRh2 (GGA-PBE)

Data for a relaxed Mg2Sc5CuRh2 crystal.

Cell and atoms, written as POSCAR:
```
Mg2Sc5CuRh2
1.0
10.997 0.000 0.000
0.000 10.997 0.000
0.000 0.000 3.420
Mg Sc Cu Rh
4 10 2 4
Cartesian
1.933 3.566 0.000
3.566 9.064 0.000
7.431 1.933 0.000
9.064 7.431 0.000
0.000 5.498 1.710
0.753 8.821 1.710
2.175 0.753 1.710
3.323 6.251 1.710
4.746 3.323 1.710
5.498 0.000 1.710
6.251 7.674 1.710
7.674 4.746 1.710
8.821 10.244 1.710
10.244 2.175 1.710
0.000 0.000 0.000
5.498 5.498 0.000
1.448 6.946 0.000
4.050 1.448 0.000
6.946 9.549 0.000
9.549 4.050 0.000
```

Computed properties:
Spin magnetization ... 0.0 Bohr magnetons per cell
Crystal system ... tetragonal
E_form ... -4.5 eV per formula unit



# 2
## MgSc4CuRh2 (GGA-PBE)

Data for a relaxed MgSc4CuRh2 crystal.

Cell and atoms, written as POSCAR:
```
MgSc4CuRh2
1.0
2.339 1.350 7.663
-2.339 1.350 7.663
0.000 -2.701 7.663
Mg Sc Cu Rh
1 4 1 2
Cartesian
0.000 0.000 0.000
0.000 0.000 2.984
0.000 0.000 8.749
0.000 0.000 14.241
0.000 0.000 20.006
0.000 0.000 11.495
0.000 0.000 5.814
0.000 0.000 17.176
```

Computed properties:
Spin magnetization ... 0.0 Bohr magnetons per cell
Crystal system ... trigonal
E_form ... -4.5 eV per formula unit



# 3
## MgCuSiRh (GGA-PBE)

Data for a relaxed MgCuSiRh crystal.

Cell and atoms, written as POSCAR:
```
MgCuSiRh
1.0
6.023 0.000 0.000
0.000 6.023 0.000
0.000 0.000 6.023
Mg Cu Si Rh
4 4 4 4
Cartesian
0.000 0.000 0.000
0.000 3.011 3.011
3.011 0.000 3.011
3.011 3.011 0.000
1.506 1.506 1.506
1.506 4.517 4.517
4.517 1.506 4.517
4.517 4.517 1.506
0.000 0.000 3.011
0.000 3.011 0.000
3.011 0.000 0.000
3.011 3.011 3.011
1.506 1.506 4.517
1.506 4.517 1.506
4.517 1.506 1.506
4.517 4.517 4.517
```

Computed properties:
Spin magnetization ... 0.0 Bohr magnetons per cell
Crystal system ... cubic
Calculated total energy ... -4.978 eV per atom



# 4
## Mg2CuSi2Rh5 (GGA-PBE)

Data for a relaxed Mg2CuSi2Rh5 crystal.

Cell and atoms, written as POSCAR:
```
Mg2CuSi2Rh5
1.0
9.675 0.000 0.000
0.000 9.675 0.000
0.000 0.000 3.163
Mg Cu Si Rh
4 2 4 10
Cartesian
1.655 3.183 0.000
3.183 8.020 0.000
6.492 1.655 0.000
8.020 6.492 0.000
0.000 0.000 0.000
4.838 4.838 0.000
1.281 6.118 0.000
3.557 1.281 0.000
6.118 8.394 0.000
8.394 3.557 0.000
0.000 4.838 1.581
0.687 7.717 1.581
1.958 0.687 1.581
2.879 5.525 1.581
4.150 2.879 1.581
4.838 0.000 1.581
5.525 6.796 1.581
6.796 4.150 1.581
7.717 8.988 1.581
8.988 1.958 1.581
```

Computed properties:
Spin magnetization ... 0.0 Bohr magnetons per cell
Crystal system ... tetragonal
Calculated total energy ... -6.093 eV per atom



# 5
## MgCuTcRh2 (GGA-PBE)

Data for a relaxed MgCuTcRh2 crystal.

Cell and atoms, written as POSCAR:
```
MgCuTcRh2
1.0
4.558 0.000 0.000
0.000 4.558 0.000
0.000 0.000 4.305
Mg Cu Tc Rh
1 1 1 2
Cartesian
0.000 0.000 0.000
0.000 0.000 2.153
2.279 2.279 0.000
0.000 2.279 2.153
2.279 0.000 2.153
```

Computed properties:
Spin magnetization ... 4.1 Bohr magnetons per cell
Crystal system ... tetragonal
E_form ... 5.2 eV per formula unit



# 6
## MgTlCuRh (GGA-PBE)

Data for a relaxed MgTlCuRh crystal.

Cell and atoms, written as POSCAR:
```
MgTlCuRh
1.0
6.451 0.000 0.000
0.000 6.451 0.000
0.000 0.000 6.451
Mg Tl Cu Rh
4 4 4 4
Cartesian
0.000 0.000 0.000
0.000 3.226 3.226
3.226 0.000 3.226
3.226 3.226 0.000
0.000 0.000 3.226
0.000 3.226 0.000
3.226 0.000 0.000
3.226 3.226 3.226
1.613 1.613 1.613
1.613 4.839 4.839
4.839 1.613 4.839
4.839 4.839 1.613
1.613 1.613 4.839
1.613 4.839 1.613
4.839 1.613 1.613
4.839 4.839 4.839
```

Computed properties:
Spin magnetization ... 0.0 Bohr magnetons per cell
Crystal system ... cubic
E_form ... -0.3 eV per formula unit



# 7
## MgVCuRh (GGA-PBE)

Data for a relaxed MgVCuRh crystal.

Cell and atoms, written as POSCAR:
```
MgVCuRh
1.0
6.111 0.000 0.000
0.000 6.111 0.000
0.000 0.000 6.111
Mg V Cu Rh
4 4 4 4
Cartesian
0.000 0.000 0.000
0.000 3.055 3.055
3.055 0.000 3.055
3.055 3.055 0.000
0.000 0.000 3.055
0.000 3.055 0.000
3.055 0.000 0.000
3.055 3.055 3.055
1.528 1.528 4.583
1.528 4.583 1.528
4.583 1.528 1.528
4.583 4.583 4.583
1.528 1.528 1.528
1.528 4.583 4.583
4.583 1.528 4.583
4.583 4.583 1.528
```

Computed properties:
Spin magnetization ... 4.2 Bohr magnetons per cell
Crystal system ... cubic
E_form ... -0.6 eV per formula unit



# 8
## MgV2CuRh (GGA-PBE)

Data for a relaxed MgV2CuRh crystal.

Cell and atoms, written as POSCAR:
```
MgV2CuRh
1.0
4.624 0.000 0.000
0.000 4.624 0.000
0.000 0.000 4.876
Mg V Cu Rh
1 2 1 1
Cartesian
0.000 0.000 0.000
0.000 2.312 2.438
2.312 0.000 2.438
2.312 2.312 0.000
0.000 0.000 2.438
```

Computed properties:
Spin magnetization ... 4.3 Bohr magnetons per cell
Crystal system ... tetragonal
E_form ... 4.2 eV per formula unit



# 9
## MgVCuRh2 (GGA-PBE)

Data for a relaxed MgVCuRh2 crystal.

Cell and atoms, written as POSCAR:
```
MgVCuRh2
1.0
4.461 0.000 0.000
0.000 4.461 0.000
0.000 0.000 4.606
Mg V Cu Rh
1 1 1 2
Cartesian
0.000 0.000 0.000
2.230 2.230 2.303
2.230 2.230 0.000
0.000 2.230 2.303
2.230 0.000 2.303
```

Computed properties:
Spin magnetization ... 0.7 Bohr magnetons per cell
Crystal system ... tetragonal
E_form ... 2.5 eV per formula unit



# 10
## MgZn2CuRh (GGA-PBE)

Data for a relaxed MgZn2CuRh crystal.

Cell and atoms, written as POSCAR:
```
MgZn2CuRh
1.0
4.434 0.000 0.000
0.000 4.434 0.000
0.000 0.000 4.731
Mg Zn Cu Rh
1 2 1 1
Cartesian
0.000 0.000 0.000
0.000 2.217 2.366
2.217 0.000 2.366
2.217 2.217 2.366
2.217 2.217 0.000
```

Computed properties:
Spin magnetization ... 0.0 Bohr magnetons per cell
Crystal system ... tetragonal
E_form ... 1.8 eV per formula unit



# 11
## Mg3Zn2CuRh3 (GGA-PBE)

Data for a relaxed Mg3Zn2CuRh3 crystal.

Cell and atoms, written as POSCAR:
```
Mg3Zn2CuRh3
1.0
7.216 0.000 0.000
-3.608 6.249 0.000
0.000 0.000 2.979
Mg Zn Cu Rh
3 2 1 3
Cartesian
-2.576 4.461 0.000
1.032 1.788 0.000
5.152 0.000 0.000
0.000 4.166 0.000
3.608 2.083 0.000
0.000 0.000 1.489
-1.346 2.331 1.489
2.692 0.000 1.489
2.262 3.918 1.489
```

Computed properties:
Spin magnetization ... 0.0 Bohr magnetons per cell
Crystal system ... hexagonal
E_form ... -3.2 eV per formula unit



# 12
## Mg2Zn5CuRh2 (GGA-PBE)

Data for a relaxed Mg2Zn5CuRh2 crystal.

Cell and atoms, written as POSCAR:
```
Mg2Zn5CuRh2
1.0
9.137 0.000 0.000
0.000 9.137 0.000
0.000 0.000 3.833
Mg Zn Cu Rh
4 10 2 4
Cartesian
1.549 3.020 0.000
3.020 7.588 0.000
6.118 1.549 0.000
7.588 6.118 0.000
0.000 4.569 1.916
0.642 7.369 1.916
1.769 0.642 1.916
2.800 5.211 1.916
3.927 2.800 1.916
4.569 0.000 1.916
5.211 6.338 1.916
6.338 3.927 1.916
7.369 8.495 1.916
8.495 1.769 1.916
0.000 0.000 0.000
4.569 4.569 0.000
1.156 5.725 0.000
3.413 1.156 0.000
5.725 7.981 0.000
7.981 3.413 0.000
```

Computed properties:
Spin magnetization ... 0.0 Bohr magnetons per cell
Crystal system ... tetragonal
E_form ... -2.6 eV per formula unit